Material: LuNbAl2
Method: DFT, PBE
State: relaxed

Values from the calculation:
The energy relative to the elements is -266 meV per atom. The theoretical density is 6.93 g/cm³. As for the space group: P4/mmm (123). The calculation puts the total moment at 0.00 μB/cell. The value obtained for the energy above the most stable polymorph in this dataset is 0 meV per atom.

abc: 3.5131 3.5131 6.2473
angles: 90.00 90.00 90.00
Last column: nearest neighbours and their distance in Å.
Positions (direct):
Lu: 0.5000 0.5000 0.5000  8 Al 3.07, 2 Nb 3.12
Al: 0.0000 0.0000 0.2101  1 Al 2.62, 4 Nb 2.81
Al: 0.0000 0.0000 0.7899  1 Al 2.62, 4 Nb 2.81
Nb: 0.5000 0.5000 0.0000  8 Al 2.81, 2 Lu 3.12



Material: LuPaNbAl
Method: DFT, PBE
State: relaxed

Values from the calculation:
The energy relative to the elements is 66 meV per atom. The theoretical density is 9.79 g/cm³. As for the space group: F-43m (216). The calculation puts the total moment at 0.00 μB/cell.

abc: 5.0160 5.0160 5.0160
angles: 60.00 60.00 60.00
Last column: nearest neighbours and their distance in Å.
Positions (direct):
Al: 0.5000 0.5000 0.5000  4 Pa 3.07, 4 Lu 3.07
Pa: 0.2500 0.2500 0.2500  4 Nb 3.07, 4 Al 3.07
Nb: 0.0000 0.0000 0.0000  4 Pa 3.07, 4 Lu 3.07
Lu: 0.7500 0.7500 0.7500  4 Nb 3.07, 4 Al 3.07



Material: LuNbAlTc
Method: DFT, PBE
State: relaxed

Values from the calculation:
The energy relative to the elements is -200 meV per atom. The theoretical density is 8.97 g/cm³. As for the space group: F-43m (216). The calculation puts the total moment at 0.00 μB/cell.

abc: 4.6855 4.6855 4.6855
angles: 60.00 60.00 60.00
Last column: nearest neighbours and their distance in Å.
Positions (direct):
Tc: 0.5000 0.5000 0.5000  4 Nb 2.87, 4 Lu 2.87
Al: 0.0000 0.0000 0.0000  4 Lu 2.87, 4 Nb 2.87
Lu: 0.7500 0.7500 0.7500  4 Tc 2.87, 4 Al 2.87
Nb: 0.2500 0.2500 0.2500  4 Al 2.87, 4 Tc 2.87